Entry 1:
A relaxed structure of Th4ScTe5. Source: Alexandria, functional PBE.

a b c (Å): 3.8301 3.8301 18.9905
angles (deg): 90.00 90.00 90.00
Each line ends with the local moment (μB).
Fractional positions:
Th 0.0000 0.0000 0.1939  0.01
Th 0.0000 0.0000 0.3982  0.00
Th 0.0000 0.0000 0.6018  0.00
Th 0.0000 0.0000 0.8061  0.01
Sc 0.0000 0.0000 0.0000  0.34
Te 0.5000 0.5000 0.0945  -0.01
Te 0.5000 0.5000 0.2965  0.00
Te 0.5000 0.5000 0.5000  0.00
Te 0.5000 0.5000 0.7035  0.00
Te 0.5000 0.5000 0.9055  -0.01

Properties
The value obtained for the total DFT energy (no corrections) is -62.20 eV per cell.

---

Entry 2:
A relaxed structure of ThSc3Te3. Source: Alexandria, functional PBE.

a b c (Å): 9.3900 9.3900 7.4997
angles (deg): 51.24 51.24 60.00
Fractional positions:
Th 0.2965 0.2965 0.1105
Th 0.7035 0.7035 0.8895
Sc 0.0889 0.6940 0.3058
Sc 0.9113 0.0889 0.3058
Sc 0.6940 0.9113 0.3058
Sc 0.3060 0.0887 0.6942
Sc 0.0887 0.9111 0.6942
Sc 0.9111 0.3060 0.6942
Te 0.4052 0.7004 0.7966
Te 0.7004 0.0978 0.7966
Te 0.0978 0.4052 0.7966
Te 0.9022 0.5948 0.2034
Te 0.2996 0.9022 0.2034
Te 0.5948 0.2996 0.2034

Properties
The value obtained for the total DFT energy (no corrections) is -83.97 eV per cell.

---

Entry 3:
A relaxed structure of ThSc3Te. Source: Alexandria, functional PBE.

a b c (Å): 3.7469 10.1169 13.6462
angles (deg): 90.00 90.00 90.00
Fractional positions:
Th 0.7500 0.8474 0.0012
Th 0.2500 0.6526 0.5012
Th 0.7500 0.3474 0.4988
Th 0.2500 0.1526 0.9988
Sc 0.2500 0.5745 0.0831
Sc 0.7500 0.4255 0.9169
Sc 0.2500 0.0745 0.4169
Sc 0.7500 0.9255 0.5831
Sc 0.2500 0.4167 0.7112
Sc 0.7500 0.0833 0.2112
Sc 0.2500 0.9167 0.7888
Sc 0.7500 0.6697 0.7048
Sc 0.2500 0.3303 0.2952
Sc 0.7500 0.1697 0.7952
Sc 0.7500 0.5833 0.2888
Sc 0.2500 0.8303 0.2048
Te 0.2500 0.1408 0.6299
Te 0.2500 0.6408 0.8701
Te 0.7500 0.3592 0.1299
Te 0.7500 0.8592 0.3701

Properties
The value obtained for the total DFT energy (no corrections) is -127.10 eV per cell.

---

Entry 4:
A relaxed structure of Th3Sc2Te3. Source: Alexandria, functional PBE.

a b c (Å): 3.8791 7.5234 15.7903
angles (deg): 90.00 90.00 104.94
Fractional positions:
Th 0.9575 0.9150 0.3704
Th 0.0425 0.0850 0.8704
Th 0.9575 0.9150 0.1296
Th 0.0425 0.0850 0.6296
Th 0.6363 0.2725 0.2500
Th 0.3637 0.7275 0.7500
Sc 0.7534 0.5068 0.9126
Sc 0.2466 0.4932 0.4126
Sc 0.7534 0.5068 0.5874
Sc 0.2466 0.4932 0.0874
Te 0.6108 0.2215 0.4593
Te 0.3892 0.7785 0.9593
Te 0.6108 0.2215 0.0407
Te 0.3892 0.7785 0.5407
Te 0.3321 0.6642 0.2500
Te 0.6679 0.3358 0.7500

Properties
The value obtained for the total DFT energy (no corrections) is -101.16 eV per cell.

---

Entry 5:
A relaxed structure of Th2ScTe3. Source: Alexandria, functional PBE.

a b c (Å): 4.2069 7.7111 21.8059
angles (deg): 90.00 90.00 90.00
Fractional positions:
Th 0.2500 0.2147 0.0086
Th 0.7500 0.7853 0.9914
Th 0.7500 0.2853 0.5086
Th 0.2500 0.7147 0.4914
Th 0.7500 0.9596 0.6843
Th 0.2500 0.0404 0.3157
Th 0.2500 0.5404 0.1843
Th 0.7500 0.4596 0.8157
Sc 0.2500 0.3976 0.6447
Sc 0.7500 0.6024 0.3553
Sc 0.7500 0.1024 0.1447
Sc 0.2500 0.8976 0.8553
Te 0.2500 0.1877 0.7587
Te 0.7500 0.8123 0.2413
Te 0.7500 0.3123 0.2587
Te 0.2500 0.6877 0.7413
Te 0.7500 0.1198 0.9046
Te 0.2500 0.8802 0.0954
Te 0.2500 0.3802 0.4046
Te 0.7500 0.6198 0.5954
Te 0.2500 0.0568 0.5806
Te 0.7500 0.9432 0.4194
Te 0.7500 0.4432 0.0806
Te 0.2500 0.5568 0.9194

Properties
The value obtained for the total DFT energy (no corrections) is -147.22 eV per cell.

---

Entry 6:
A relaxed structure of ThSc3Te6. Source: Alexandria, functional PBE.

a b c (Å): 4.2125 12.0646 12.3725
angles (deg): 108.88 90.00 90.00
Fractional positions:
Th 0.7500 0.0505 0.7042
Th 0.2500 0.9495 0.2958
Sc 0.7500 0.4364 0.8416
Sc 0.2500 0.5636 0.1584
Sc 0.7500 0.6784 0.5032
Sc 0.2500 0.3216 0.4968
Sc 0.7500 0.1551 0.0817
Sc 0.2500 0.8449 0.9183
Te 0.7500 0.4802 0.6185
Te 0.2500 0.5198 0.3815
Te 0.7500 0.9149 0.0900
Te 0.2500 0.0851 0.9100
Te 0.7500 0.3898 0.0620
Te 0.2500 0.6102 0.9380
Te 0.7500 0.7341 0.2751
Te 0.2500 0.2659 0.7249
Te 0.7500 0.1210 0.4691
Te 0.2500 0.8790 0.5309
Te 0.7500 0.7998 0.7498
Te 0.2500 0.2002 0.2502

Properties
The value obtained for the total DFT energy (no corrections) is -114.50 eV per cell.

---

Entry 7:
A relaxed structure of Th2ScTe6. Source: Alexandria, functional PBE.

a b c (Å): 7.2452 7.2452 13.4734
angles (deg): 90.00 90.00 90.00
Fractional positions:
Th 0.0000 0.0000 0.3302
Th 0.5000 0.5000 0.8302
Th 0.5000 0.5000 0.1698
Th 0.0000 0.0000 0.6698
Sc 0.0000 0.0000 0.0000
Sc 0.5000 0.5000 0.5000
Te 0.3023 0.3023 0.3458
Te 0.6977 0.6977 0.3458
Te 0.1977 0.8023 0.8458
Te 0.8023 0.1977 0.8458
Te 0.1977 0.8023 0.1542
Te 0.8023 0.1977 0.1542
Te 0.3023 0.3023 0.6542
Te 0.6977 0.6977 0.6542
Te 0.2911 0.2911 0.0000
Te 0.7089 0.7089 0.0000
Te 0.2089 0.7911 0.5000
Te 0.7911 0.2089 0.5000

Properties
The value obtained for the total DFT energy (no corrections) is -97.44 eV per cell.

---

Entry 8:
A relaxed structure of ThSc2Tl3Te6. Source: Alexandria, functional PBE.

a b c (Å): 7.4753 7.4753 8.6599
angles (deg): 98.30 98.30 119.96
Fractional positions:
Th 0.0000 0.0000 0.0000
Sc 0.3324 0.6676 0.0000
Sc 0.6676 0.3324 0.0000
Tl 0.1606 0.8394 0.5000
Tl 0.8394 0.1606 0.5000
Tl 0.5000 0.5000 0.5000
Te 0.9292 0.5810 0.7885
Te 0.7198 0.7198 0.2071
Te 0.0708 0.4190 0.2115
Te 0.5810 0.9292 0.7885
Te 0.2802 0.2802 0.7929
Te 0.4190 0.0708 0.2115

Properties
The value obtained for the total DFT energy (no corrections) is -56.71 eV per cell.

---

> Among the records above, which one has the highest total DFT energy (no corrections)?

ThSc2Tl3Te6